1.
Material: PuUAs
Method: DFT, PBE
State: optimized geometry

a = 3.562 Å, b = 4.482 Å, c = 4.482 Å
α = 120.00°, β = 90.00°, γ = 90.00°
Each line ends with the local moment (μB).
Positions (direct):
1 U 0.055 0.000 0.000  1.34
2 Pu 0.308 0.333 0.667  5.06
3 As 0.636 0.667 0.333  -0.02

Crystal system: trigonal
Fermi-level density of states (states/eV per atom): 1.8176
Distance to the lowest polymorph of the same formula (meV/atom): 211
E (eV per atom): -10.302
Calculated volume (Å³ per atom): 20.7

---

2.
Material: BaHgGeAu2
Method: DFT, PBE
State: optimized geometry

a = 5.147 Å, b = 5.147 Å, c = 5.309 Å
α = 90.00°, β = 90.00°, γ = 90.00°
Positions (direct):
1 Hg 0.000 0.000 0.500
2 Au 0.500 0.000 0.000
3 Au 0.000 0.500 0.000
4 Ba 0.500 0.500 0.500
5 Ge 0.000 0.000 0.000

Crystal system: tetragonal
Fermi-level density of states (states/eV per atom): 0.4905
E (eV per atom): -3.000
Calculated volume (Å³ per atom): 28.1

---

3.
Material: TbSc4Al5
Method: DFT, PBE
State: optimized geometry

a = 3.419 Å, b = 3.419 Å, c = 17.167 Å
α = 90.00°, β = 90.00°, γ = 90.00°
Positions (direct):
1 Al 0.500 0.500 0.885
2 Al 0.500 0.500 0.693
3 Al 0.500 0.500 0.307
4 Al 0.500 0.500 0.500
5 Al 0.500 0.500 0.115
6 Sc 0.000 0.000 0.210
7 Sc 0.000 0.000 0.596
8 Sc 0.000 0.000 0.404
9 Sc 0.000 0.000 0.790
10 Tb 0.000 0.000 0.000

Crystal system: tetragonal
Fermi-level density of states (states/eV per atom): 0.4727
E (eV per atom): -5.301
Calculated volume (Å³ per atom): 20.1

---

4.
Material: LiTaTe2
Method: DFT, PBE
State: optimized geometry

a = 6.057 Å, b = 6.057 Å, c = 6.057 Å
α = 141.01°, β = 141.01°, γ = 56.32°
Positions (direct):
1 Te 0.250 0.750 0.500
2 Te 0.000 0.000 0.000
3 Ta 0.750 0.250 0.500
4 Li 0.500 0.500 0.000

Crystal system: tetragonal
Fermi-level density of states (states/eV per atom): 0.9062
Raw formation energy (eV/atom): 0.170
E (eV per atom): -4.842
Calculated volume (Å³ per atom): 21.8

---

Values for total magnetic moment, μB per formula unit, ordered as above
6.478; 0.000; 0.000; 0.000